*i*
Density functional theory data (PBE) for Zr4Tl after structural relaxation.

a b c (Å): 4.9043 6.2050 14.9866
angles (deg): 90.00 90.00 90.00
Space group Imma (No. 74)
Symmetry-distinct sites (fractional):
Zr 0.0000 0.0000 0.0000 (multiplicity 4)
Zr 0.0000 0.0053 0.1977 (multiplicity 8)
Zr 0.0000 0.2500 0.3974 (multiplicity 4)
Tl 0.0000 0.2500 0.6080 (multiplicity 4)

Properties
Density   8.29 g/cm3
Magnetization   0.00 μB per formula unit
V   22.8 Å³/atom

=====

*ii*
Density functional theory data (PBE) for Zr4Tl after structural relaxation.

a b c (Å): 5.3163 5.3163 5.3163
angles (deg): 90.00 90.00 90.00
Space group Pm-3m (No. 221)
Symmetry-distinct sites (fractional):
Zr 0.0000 0.0000 0.0000 (multiplicity 1)
Zr 0.0000 0.5000 0.5000 (multiplicity 3)
Tl 0.5000 0.5000 0.5000 (multiplicity 1)

Properties
Density   6.29 g/cm3
Magnetization   2.89 μB per formula unit
V   30.1 Å³/atom

=====

Which one sits at the top of the stability order? *i* does.

=====

*i*
Density functional theory data (PBE) for Zr3Tl2 after structural relaxation.

a b c (Å): 10.4862 14.6916 6.0892
angles (deg): 90.00 90.00 90.00
Space group Fdd2 (No. 43)
Symmetry-distinct sites (fractional):
Zr 0.0000 0.0000 0.0000 (multiplicity 8)
Zr 0.0582 0.3998 0.0322 (multiplicity 16)
Tl 0.0368 0.3008 0.5725 (multiplicity 16)

Properties
Density   9.66 g/cm3
Magnetization   0.00 μB per formula unit
V   23.5 Å³/atom

=====

*ii*
Density functional theory data (PBE) for Zr3Tl2 after structural relaxation.

a b c (Å): 5.8881 5.8881 24.3867
angles (deg): 90.00 90.00 120.00
Space group R-3 (No. 148, hexagonal axes)
Symmetry-distinct sites (fractional):
Zr 0.0006 0.4281 0.4375 (multiplicity 18)
Tl 0.0000 0.0000 0.0000 (multiplicity 3)
Tl 0.0000 0.0000 0.3464 (multiplicity 6)
Tl 0.0000 0.0000 0.5000 (multiplicity 3)

Properties
Density   9.29 g/cm3
Magnetization   0.00 μB per formula unit
V   24.4 Å³/atom

=====

*iii*
Density functional theory data (PBE) for Zr3Tl2 after structural relaxation.

a b c (Å): 5.6654 5.6654 14.8436
angles (deg): 90.00 90.00 90.00
Space group I4_1/amd (No. 141, origin choice 2)
Symmetry-distinct sites (fractional):
Zr 0.0000 0.0000 0.0000 (multiplicity 8)
Zr 0.0000 0.2500 0.3750 (multiplicity 4)
Tl 0.0000 0.2500 0.1799 (multiplicity 8)

Properties
Density   9.51 g/cm3
Magnetization   0.00 μB per formula unit
V   23.8 Å³/atom

=====

*iv*
Density functional theory data (PBE) for Zr3Tl2 after structural relaxation.

a b c (Å): 3.3126 3.3126 38.0112
angles (deg): 90.00 90.00 120.00
Space group R-3m (No. 166, hexagonal axes)
Symmetry-distinct sites (fractional):
Zr 0.0000 0.0000 0.0000 (multiplicity 3)
Zr 0.0000 0.0000 0.1984 (multiplicity 6)
Tl 0.0000 0.0000 0.4001 (multiplicity 6)

Properties
Density   9.41 g/cm3
Magnetization   0.00 μB per formula unit
V   24.1 Å³/atom

=====

Which one sits at the top of the stability order? *i* does.

=====

*i*
Density functional theory data (PBE) for Zr5Tl after structural relaxation.

a b c (Å): 8.2601 8.2601 8.2601
angles (deg): 90.00 90.00 90.00
Space group F-43m (No. 216)
Symmetry-distinct sites (fractional):
Zr 0.0000 0.0000 0.0000 (multiplicity 4)
Zr 0.1275 0.1275 0.6275 (multiplicity 16)
Tl 0.2500 0.2500 0.2500 (multiplicity 4)

Properties
Density   7.78 g/cm3
Magnetization   0.00 μB per formula unit
V   23.5 Å³/atom

=====

*ii*
Density functional theory data (PBE) for Zr5Tl after structural relaxation.

a b c (Å): 4.4684 13.8710 4.4443
angles (deg): 90.00 90.00 90.00
Space group Cmmm (No. 65)
Symmetry-distinct sites (fractional):
Zr 0.0000 0.0000 0.0000 (multiplicity 2)
Zr 0.0000 0.1671 0.5000 (multiplicity 4)
Zr 0.0000 0.3334 0.0000 (multiplicity 4)
Tl 0.0000 0.5000 0.5000 (multiplicity 2)

Properties
Density   7.96 g/cm3
Magnetization   0.00 μB per formula unit
V   23.0 Å³/atom

=====

*iii*
Density functional theory data (PBE) for Zr5Tl after structural relaxation.

a b c (Å): 6.0105 6.0105 4.8203
angles (deg): 90.00 90.00 120.00
Space group P6/mmm (No. 191)
Symmetry-distinct sites (fractional):
Zr 0.0000 0.5000 0.0000 (multiplicity 3)
Zr 0.3333 0.6667 0.5000 (multiplicity 2)
Tl 0.0000 0.0000 0.5000 (multiplicity 1)

Properties
Density   7.27 g/cm3
Magnetization   0.00 μB per formula unit
V   25.1 Å³/atom

=====

*iv*
Density functional theory data (PBE) for Zr5Tl after structural relaxation.

a b c (Å): 11.7591 3.1952 7.7058
angles (deg): 90.00 105.42 90.00
Space group Cm (No. 8)
Symmetry-distinct sites (fractional):
Zr 0.0000 0.0000 0.0000 (multiplicity 2)
Zr 0.0407 0.0000 0.6238 (multiplicity 2)
Zr 0.1502 0.5000 0.3384 (multiplicity 2)
Zr 0.3166 0.0000 0.6600 (multiplicity 2)
Zr 0.3816 0.0000 0.2853 (multiplicity 2)
Tl 0.2238 0.5000 0.9573 (multiplicity 2)

Properties
Density   7.86 g/cm3
Magnetization   0.00 μB per formula unit
V   23.3 Å³/atom

=====

Which one sits at the top of the stability order? *ii* does.

=====

*i*
Density functional theory data (PBE) for Zr4Tl3 after structural relaxation.

a b c (Å): 5.8591 5.8591 5.4618
angles (deg): 90.00 90.00 120.00
Space group P6/mmm (No. 191)
Symmetry-distinct sites (fractional):
Zr 0.0000 0.0000 0.2358 (multiplicity 2)
Zr 0.3333 0.6667 0.0000 (multiplicity 2)
Tl 0.0000 0.5000 0.5000 (multiplicity 3)

Properties
Density   10.00 g/cm3
Magnetization   0.00 μB per formula unit
V   23.2 Å³/atom

=====

*ii*
Density functional theory data (PBE) for Zr4Tl3 after structural relaxation.

a b c (Å): 23.0819 3.3581 4.2233
angles (deg): 90.00 100.50 90.00
Space group C2/m (No. 12)
Symmetry-distinct sites (fractional):
Zr 0.0689 0.0000 0.0686 (multiplicity 4)
Zr 0.2115 0.0000 0.2115 (multiplicity 4)
Tl 0.0000 0.5000 0.5000 (multiplicity 2)
Tl 0.1447 0.5000 0.6449 (multiplicity 4)

Properties
Density   10.09 g/cm3
Magnetization   0.00 μB per formula unit
V   23.0 Å³/atom

=====

*iii*
Density functional theory data (PBE) for Zr4Tl3 after structural relaxation.

a b c (Å): 3.8315 3.8315 22.5378
angles (deg): 90.00 90.00 90.00
Space group I4/mmm (No. 139)
Symmetry-distinct sites (fractional):
Zr 0.0000 0.0000 0.0720 (multiplicity 4)
Zr 0.0000 0.0000 0.3577 (multiplicity 4)
Tl 0.0000 0.0000 0.2135 (multiplicity 4)
Tl 0.0000 0.0000 0.5000 (multiplicity 2)

Properties
Density   9.82 g/cm3
Magnetization   0.00 μB per formula unit
V   23.6 Å³/atom

=====

Which one sits at the top of the stability order? *ii* does.

=====

*i*
Density functional theory data (PBE) for Zr5Tl4 after structural relaxation.

a b c (Å): 9.7764 9.7764 4.4669
angles (deg): 90.00 90.00 90.00
Space group I4/mmm (No. 139)
Symmetry-distinct sites (fractional):
Zr 0.0000 0.0000 0.0000 (multiplicity 2)
Zr 0.1707 0.1707 0.5000 (multiplicity 8)
Tl 0.0000 0.3157 0.0000 (multiplicity 8)

Properties
Density   9.91 g/cm3
Magnetization   0.00 μB per formula unit
V   23.7 Å³/atom

=====

*ii*
Density functional theory data (PBE) for Zr5Tl4 after structural relaxation.

a b c (Å): 8.9034 8.9034 6.0535
angles (deg): 90.00 90.00 120.00
Space group P6_3/mcm (No. 193)
Symmetry-distinct sites (fractional):
Zr 0.0000 0.2938 0.2500 (multiplicity 6)
Zr 0.3333 0.6667 0.0000 (multiplicity 4)
Tl 0.0000 0.0000 0.0000 (multiplicity 2)
Tl 0.0000 0.3735 0.7500 (multiplicity 6)

Properties
Density   10.18 g/cm3
Magnetization   0.00 μB per formula unit
V   23.1 Å³/atom

=====

Which one sits at the top of the stability order? *ii* does.

=====

*i*
Density functional theory data (PBE) for ZrTl5 after structural relaxation.

a b c (Å): 5.2365 3.4716 18.4722
angles (deg): 90.00 90.00 90.00
Space group Amm2 (No. 38)
Symmetry-distinct sites (fractional):
Zr 0.0000 0.0000 0.0000 (multiplicity 2)
Tl 0.0000 0.0000 0.3517 (multiplicity 2)
Tl 0.0000 0.0000 0.6602 (multiplicity 2)
Tl 0.5000 0.0000 0.1153 (multiplicity 2)
Tl 0.5000 0.0000 0.4682 (multiplicity 2)
Tl 0.5000 0.0000 0.7848 (multiplicity 2)

Properties
Density   11.01 g/cm3
Magnetization   0.00 μB per formula unit
V   28.0 Å³/atom

=====

*ii*
Density functional theory data (PBE) for ZrTl5 after structural relaxation.

a b c (Å): 6.0792 6.0792 5.8621
angles (deg): 90.00 90.00 120.00
Space group P6/mmm (No. 191)
Symmetry-distinct sites (fractional):
Zr 0.0000 0.0000 0.0000 (multiplicity 1)
Tl 0.0000 0.5000 0.5000 (multiplicity 3)
Tl 0.3333 0.6667 0.0000 (multiplicity 2)

Properties
Density   9.85 g/cm3
Magnetization   2.22 μB per formula unit
V   31.3 Å³/atom

=====

Which one sits at the top of the stability order? *i* does.

=====

*i*
Density functional theory data (PBE) for ZrTl5 after structural relaxation.

a b c (Å): 6.1958 6.1958 5.0418
angles (deg): 90.00 90.00 120.00
Space group P-62m (No. 189)
Symmetry-distinct sites (fractional):
Zr 0.0000 0.0000 0.0000 (multiplicity 1)
Tl 0.0000 0.6893 0.5000 (multiplicity 3)
Tl 0.3333 0.6667 0.0000 (multiplicity 2)

Properties
Density   11.03 g/cm3
Magnetization   0.00 μB per formula unit
V   27.9 Å³/atom

=====

*ii*
Density functional theory data (PBE) for ZrTl5 after structural relaxation.

a b c (Å): 8.8060 8.8060 8.8060
angles (deg): 90.00 90.00 90.00
Space group F-43m (No. 216)
Symmetry-distinct sites (fractional):
Zr 0.0000 0.0000 0.0000 (multiplicity 4)
Tl 0.1253 0.1253 0.3747 (multiplicity 16)
Tl 0.2500 0.2500 0.7500 (multiplicity 4)

Properties
Density   10.83 g/cm3
Magnetization   1.22 μB per formula unit
V   28.5 Å³/atom

=====

*iii*
Density functional theory data (PBE) for ZrTl5 after structural relaxation.

a b c (Å): 5.6384 17.0273 3.4694
angles (deg): 90.00 90.00 90.00
Space group Cmmm (No. 65)
Symmetry-distinct sites (fractional):
Zr 0.0000 0.0000 0.0000 (multiplicity 2)
Tl 0.0000 0.1520 0.5000 (multiplicity 4)
Tl 0.0000 0.3244 0.0000 (multiplicity 4)
Tl 0.0000 0.5000 0.5000 (multiplicity 2)

Properties
Density   11.10 g/cm3
Magnetization   0.00 μB per formula unit
V   27.8 Å³/atom

=====

*iv*
Density functional theory data (PBE) for ZrTl5 after structural relaxation.

a b c (Å): 11.9400 3.4232 8.4116
angles (deg): 90.00 99.38 90.00
Space group Cm (No. 8)
Symmetry-distinct sites (fractional):
Zr 0.0000 0.0000 0.0000 (multiplicity 2)
Tl 0.0724 0.0000 0.6502 (multiplicity 2)
Tl 0.2303 0.5000 0.0246 (multiplicity 2)
Tl 0.2646 0.5000 0.4183 (multiplicity 2)
Tl 0.3470 0.0000 0.7504 (multiplicity 2)
Tl 0.4883 0.0000 0.3043 (multiplicity 2)

Properties
Density   10.90 g/cm3
Magnetization   0.00 μB per formula unit
V   28.3 Å³/atom

=====

Which one sits at the top of the stability order? *iv* does.

=====

*i*
Density functional theory data (PBE) for Zr4Tl5 after structural relaxation.

a b c (Å): 9.0087 9.0087 6.0684
angles (deg): 90.00 90.00 120.00
Space group P6_3/mcm (No. 193)
Symmetry-distinct sites (fractional):
Zr 0.0000 0.0000 0.0000 (multiplicity 2)
Zr 0.0000 0.3740 0.2500 (multiplicity 6)
Tl 0.0000 0.2905 0.7500 (multiplicity 6)
Tl 0.3333 0.6667 0.0000 (multiplicity 4)

Properties
Density   10.80 g/cm3
Magnetization   0.00 μB per formula unit
V   23.7 Å³/atom

=====

*ii*
Density functional theory data (PBE) for Zr4Tl5 after structural relaxation.

a b c (Å): 10.4495 10.4495 3.9814
angles (deg): 90.00 90.00 90.00
Space group I4/mmm (No. 139)
Symmetry-distinct sites (fractional):
Zr 0.0000 0.3357 0.0000 (multiplicity 8)
Tl 0.0000 0.0000 0.0000 (multiplicity 2)
Tl 0.1722 0.1722 0.5000 (multiplicity 8)

Properties
Density   10.59 g/cm3
Magnetization   0.00 μB per formula unit
V   24.2 Å³/atom

=====

Which one sits at the top of the stability order? *ii* does.

=====

*i*
Density functional theory data (PBE) for TmV2W after structural relaxation.

a b c (Å): 3.2032 3.2032 6.8879
angles (deg): 90.00 90.00 90.00
Space group P4/mmm (No. 123)
Symmetry-distinct sites (fractional):
Tm 0.0000 0.0000 0.0000 (multiplicity 1)
V 0.5000 0.5000 0.3018 (multiplicity 2)
W 0.0000 0.0000 0.5000 (multiplicity 1)

Properties
Density   10.68 g/cm3
Magnetization   0.87 μB per formula unit
V   17.7 Å³/atom

=====

*ii*
Density functional theory data (PBE) for TmV2W after structural relaxation.

a b c (Å): 3.0698 3.0698 26.3328
angles (deg): 90.00 90.00 120.00
Space group R-3m (No. 166, hexagonal axes)
Symmetry-distinct sites (fractional):
Tm 0.0000 0.0000 0.0000 (multiplicity 3)
V 0.0000 0.0000 0.2375 (multiplicity 6)
W 0.0000 0.0000 0.5000 (multiplicity 3)

Properties
Density   10.54 g/cm3
Magnetization   0.00 μB per formula unit
V   17.9 Å³/atom

=====

Which one sits at the top of the stability order? *i* does.